1.
# PmTi2VO8 GGA+U relaxed
data_PmTi2VO8
_chemical_formula_sum 'Pm2 Ti4 V2 O16'
_symmetry_space_group_name_H-M 'C 1 2/m 1'
_symmetry_Int_Tables_number 12
_symmetry_space_group_name_Hall '-C 2y'
_cell_length_a 7.382
_cell_length_b 6.295
_cell_length_c 6.632
_cell_angle_alpha 90.00
_cell_angle_beta 97.51
_cell_angle_gamma 90.00
loop_
_atom_site_label
_atom_site_fract_x
_atom_site_fract_y
_atom_site_fract_z
_atom_site_occupancy
Pm1 0.000 0.000 0.000 1
Ti1 0.063 0.500 0.237 1
V1 0.000 0.000 0.500 1
O1 0.003 0.212 0.290 1
O2 0.175 0.500 0.010 1
O3 0.248 0.500 0.454 1
# * VASP energy: -8.3169 eV/atom
# * spin magnetization: 0.000 μB per formula unit
# * mass density: 4.561 g/cm3



2.
# Pm2TiVO6 GGA+U relaxed
data_Pm2TiVO6
_chemical_formula_sum 'Pm2 Ti1 V1 O6'
_symmetry_space_group_name_H-M 'P 4 m m'
_symmetry_Int_Tables_number 99
_symmetry_space_group_name_Hall 'P 4 -2'
_cell_length_a 5.510
_cell_length_b 5.510
_cell_length_c 4.378
_cell_angle_alpha 90.00
_cell_angle_beta 90.00
_cell_angle_gamma 90.00
loop_
_atom_site_label
_atom_site_fract_x
_atom_site_fract_y
_atom_site_fract_z
_atom_site_occupancy
Pm1 0.000 0.500 0.000 1
Ti1 0.000 0.000 0.574 1
V1 0.500 0.500 0.616 1
O1 0.000 0.000 0.160 1
O2 0.238 0.238 0.686 1
O3 0.500 0.500 0.125 1
# * VASP energy: -8.3218 eV/atom
# * spin magnetization: 3.001 μB per formula unit
# * mass density: 6.056 g/cm3



Among the records above, which one has the lowest spin magnetization? PmTi2VO8



Among the records above, which one has the highest VASP energy? PmTi2VO8



Look up the VASP energy of the first one. -8.3169 eV/atom



Which of these has the highest mass density? Pm2TiVO6